Record 1
{"formula": "Ta3Mo5", "functional": "PBE", "state": "optimized geometry", "lattice": [[5.099, -1.606, 0.000], [5.099, 1.606, 0.000], [-4.173, 0.000, 8.130]], "species": ["Ta", "Ta", "Ta", "Mo", "Mo", "Mo", "Mo", "Mo"], "frac_coords": [[0.000, 0.000, 0.000], [0.250, 0.250, 0.370], [0.750, 0.750, 0.630], [0.000, 0.000, 0.500], [0.247, 0.247, 0.878], [0.498, 0.498, 0.252], [0.502, 0.502, 0.748], [0.753, 0.753, 0.122]], "final_energy_ev_per_atom": -11.365, "n_ef_per_ev_cell": 6.01, "spacegroup": "C2/m, No. 12", "formation_energy_ev_per_atom": -0.15, "de_polymorph_ev_per_atom": 0.041}

=====

Record 2
{"formula": "Ta3Mo5", "functional": "PBE", "state": "optimized geometry", "lattice": [[3.204, 0.000, 0.000], [0.000, 6.433, 3.224], [0.000, -6.433, 3.224]], "species": ["Ta", "Ta", "Ta", "Mo", "Mo", "Mo", "Mo", "Mo"], "frac_coords": [[0.000, 0.000, 0.000], [0.500, 0.609, 0.863], [0.500, 0.863, 0.609], [0.000, 0.237, 0.738], [0.000, 0.486, 0.486], [0.000, 0.738, 0.237], [0.500, 0.117, 0.370], [0.500, 0.370, 0.117]], "final_energy_ev_per_atom": -11.355, "n_ef_per_ev_cell": 4.27, "spacegroup": "Amm2, No. 38", "formation_energy_ev_per_atom": -0.14, "de_polymorph_ev_per_atom": 0.051}

=====

Record 3
{"formula": "Ta3Mo5", "functional": "PBE", "state": "optimized geometry", "lattice": [[3.212, 0.000, 0.000], [0.000, 4.547, 0.000], [0.000, 0.000, 9.090]], "species": ["Ta", "Ta", "Ta", "Mo", "Mo", "Mo", "Mo", "Mo"], "frac_coords": [[0.000, 0.000, 0.000], [0.000, 0.500, 0.251], [0.000, 0.500, 0.749], [0.000, 0.000, 0.500], [0.500, 0.000, 0.256], [0.500, 0.000, 0.744], [0.500, 0.500, 0.000], [0.500, 0.500, 0.500]], "final_energy_ev_per_atom": -11.392, "n_ef_per_ev_cell": 4.23, "spacegroup": "Pmmm, No. 47", "formation_energy_ev_per_atom": -0.18, "de_polymorph_ev_per_atom": 0.013}

=====

What did the second record say?
{"formula": "Ta3Mo5", "functional": "PBE", "state": "optimized geometry", "lattice": [[3.204, 0.000, 0.000], [0.000, 6.433, 3.224], [0.000, -6.433, 3.224]], "species": ["Ta", "Ta", "Ta", "Mo", "Mo", "Mo", "Mo", "Mo"], "frac_coords": [[0.000, 0.000, 0.000], [0.500, 0.609, 0.863], [0.500, 0.863, 0.609], [0.000, 0.237, 0.738], [0.000, 0.486, 0.486], [0.000, 0.738, 0.237], [0.500, 0.117, 0.370], [0.500, 0.370, 0.117]], "final_energy_ev_per_atom": -11.355, "n_ef_per_ev_cell": 4.27, "spacegroup": "Amm2, No. 38", "formation_energy_ev_per_atom": -0.14, "de_polymorph_ev_per_atom": 0.051}

=====

Repeat the first record exactly.
{"formula": "Ta3Mo5", "functional": "PBE", "state": "optimized geometry", "lattice": [[5.099, -1.606, 0.000], [5.099, 1.606, 0.000], [-4.173, 0.000, 8.130]], "species": ["Ta", "Ta", "Ta", "Mo", "Mo", "Mo", "Mo", "Mo"], "frac_coords": [[0.000, 0.000, 0.000], [0.250, 0.250, 0.370], [0.750, 0.750, 0.630], [0.000, 0.000, 0.500], [0.247, 0.247, 0.878], [0.498, 0.498, 0.252], [0.502, 0.502, 0.748], [0.753, 0.753, 0.122]], "final_energy_ev_per_atom": -11.365, "n_ef_per_ev_cell": 6.01, "spacegroup": "C2/m, No. 12", "formation_energy_ev_per_atom": -0.15, "de_polymorph_ev_per_atom": 0.041}